First-principles (PBE+U) data for an optimized crystal structure of MnCdF5, as listed in the Alexandria database.

Results
For the volume, the calculation gives 209.6 Å³ per cell. As for the total energy: -4.8707 eV per atom. Its space-group type is C2/c (15). The calculation puts the magnetic moment at 4.00 μB/f.u.

Cell: 5.5708 5.5708 8.0223 Å, 68.52 68.52 70.27°
With the nearest neighbours (Å) after each atom.
Sites, in units of the cell vectors:
Mn 0.0000 0.0000 0.5000  4 F 1.86-1.93
Mn 0.0000 0.0000 0.0000  4 F 1.86-1.93
Cd 0.5418 0.4582 0.2500  5 F 2.22-2.29
Cd 0.4582 0.5418 0.7500  5 F 2.22-2.29
F 0.6899 0.2816 0.9639  1 Mn 1.93
F 0.2816 0.6899 0.4639  1 Mn 1.93
F 0.1053 0.8947 0.7500  2 Mn 2.12, 1 Cd 2.26
F 0.8947 0.1053 0.2500  2 Mn 2.12, 1 Cd 2.26
F 0.7184 0.3101 0.5361  1 Mn 1.93
F 0.3101 0.7184 0.0361  1 Mn 1.93
F 0.7920 0.7515 0.1209  1 Mn 1.86
F 0.2080 0.2485 0.8791  1 Mn 1.86
F 0.7515 0.7920 0.6209  1 Mn 1.86
F 0.2485 0.2080 0.3791  1 Mn 1.86